An optimized crystal structure of Pr3Dy5In, computed with PBE.

Properties
**Formation energy from the elements**: 0.38 eV per atom
**SG**: C2/m (12)
**Energy**: -73.29 eV per cell
**D(E_F)**: 26.2 states/eV per cell

abc: 7.8159 7.8159 11.7319
angles: 85.49 85.49 61.34
Closest atoms and distances in Å follow each position.
Fractional positions:
1 Pr 0.6583 0.6583 0.7835  1 Dy 2.93
2 Pr 0.7348 0.7348 0.4728  1 In 3.24, 2 Dy 3.45-3.54, 1 Pr 3.61
3 Pr 0.0000 0.0000 0.0000  2 Dy 2.65
4 Pr 0.0000 0.0000 0.5000  2 In 3.29, 2 Pr 3.61
5 Pr 0.3417 0.3417 0.2165  1 Dy 2.93
6 Pr 0.2652 0.2652 0.5272  1 In 3.24, 2 Dy 3.45-3.54, 1 Pr 3.61
7 Dy 0.9167 0.3352 0.2359  3 Dy 3.18-3.51, 1 Pr 3.34, 1 In 3.45
8 Dy 0.3318 0.6682 0.0000  1 Pr 2.65, 1 Dy 2.68
9 Dy 0.7568 0.7568 0.0334  2 Pr 3.26-3.33, 1 In 3.37
10 Dy 0.5027 0.5027 0.3694  1 Pr 2.93, 3 Dy 3.06-3.18
11 Dy 0.4973 0.4973 0.6306  1 Pr 2.93, 3 Dy 3.06-3.18
12 Dy 0.2432 0.2432 0.9666  2 Pr 3.26-3.33, 1 In 3.37
13 Dy 0.3352 0.9167 0.2359  3 Dy 3.18-3.51, 1 Pr 3.34, 1 In 3.45
14 Dy 0.6682 0.3318 0.0000  1 Pr 2.65, 1 Dy 2.68
15 Dy 0.0833 0.6648 0.7641  3 Dy 3.18-3.51, 1 Pr 3.34, 1 In 3.45
16 Dy 0.6648 0.0833 0.7641  3 Dy 3.18-3.51, 1 Pr 3.34, 1 In 3.45
17 In 0.0994 0.0994 0.7462  3 Pr 3.15-3.29, 3 Dy 3.37-3.45
18 In 0.9006 0.9006 0.2538  3 Pr 3.15-3.29, 3 Dy 3.37-3.45